MnP4O12 after structural relaxation. Source: Alexandria via LeMat-Bulk, functional PBE+U.

Unit cell a=13.4506 b=5.1023 c=7.3934 alpha=78.60 beta=90.00 gamma=90.00
Each line ends with the local moment (μB).
Fractional positions:
O: 0.4835 0.9449 0.4751  -0.02
O: 0.1573 0.1973 0.4576  -0.02
P: 0.5959 0.0292 0.4323  0.01
O: 0.1101 0.7014 0.5140  -0.05
O: 0.6573 0.8027 0.5424  -0.02
Mn: 0.2323 0.4922 0.5068  3.18
O: 0.2744 0.9254 0.9429  -0.01
O: 0.6265 0.8382 0.9305  -0.05
P: 0.0959 0.9708 0.5677  0.01
O: 0.2166 0.3684 0.7669  -0.03
P: 0.8690 0.9832 0.5589  0.01
O: 0.8124 0.2158 0.4424  -0.02
O: 0.8500 0.9639 0.7706  0.00
O: 0.3536 0.2844 0.4980  -0.05
O: 0.2392 0.6290 0.2486  -0.03
P: 0.6780 0.8786 0.0968  0.01
P: 0.3251 0.7756 0.1305  0.01
O: 0.3500 0.0361 0.2294  0.00
O: 0.8536 0.7156 0.5020  -0.05
O: 0.7166 0.6316 0.2331  -0.03
O: 0.6101 0.2986 0.4860  -0.05
P: 0.1780 0.1214 0.9032  0.01
O: 0.1265 0.1618 0.0695  -0.05
O: 0.4161 0.6329 0.1001  -0.03
O: 0.9835 0.0551 0.5249  -0.02
O: 0.1097 0.9503 0.7819  0.01
Mn: 0.7323 0.5078 0.4932  3.18
O: 0.9161 0.3671 0.8999  -0.03
O: 0.7744 0.0746 0.0571  -0.01
O: 0.7392 0.3710 0.7514  -0.03
O: 0.3124 0.7842 0.5576  -0.02
P: 0.3690 0.0168 0.4411  0.01
O: 0.6097 0.0497 0.2181  0.01
P: 0.8251 0.2244 0.8695  0.01

Calculated values
energy above the most stable polymorph in this dataset	0.0000	eV/atom
total moment	2.9	μB per formula unit
space-group type	P2_1, No. 4